HoEr3Ga | PBE-GGA | relaxed

Structure (POSCAR):
```
HoEr3Ga
1.0
-4.6291 -2.5878 5.0618
-1.7632 -3.3622 -6.2717
7.1922 -1.3830 0.9239
Ho Er Ga
2 6 2
Direct
0.7030 0.0676 0.7706 Ho
0.2970 0.9324 0.2294 Ho
0.8422 0.0256 0.2523 Er
0.2267 0.4101 0.2523 Er
0.7733 0.5899 0.7477 Er
0.7247 0.4457 0.1705 Er
0.1578 0.9744 0.7477 Er
0.2753 0.5543 0.8295 Er
0.6314 0.7549 0.3863 Ga
0.3686 0.2451 0.6137 Ga
```

formation enthalpy at 0 K	-0.066	eV per atom